[1]
BaY3Rh: relaxed, GGA-PBE.

```
data_BaY3Rh
_symmetry_space_group_name_H-M 'P m -3 m'
_symmetry_Int_Tables_number 221
_symmetry_space_group_name_Hall '-P 4 2 3'
_cell_length_a 5.4957
_cell_length_b 5.4957
_cell_length_c 5.4957
_cell_angle_alpha 90.00
_cell_angle_beta 90.00
_cell_angle_gamma 90.00
loop_
_atom_site_label
_atom_site_fract_x
_atom_site_fract_y
_atom_site_fract_z
Ba1 0.0000 0.0000 0.0000
Y1 0.0000 0.0000 0.5000
Rh1 0.5000 0.5000 0.5000
```

Summary:
For the total magnetization, the calculation gives 0.0 μB/cell. The formation energy is 1.458 eV per atom. The calculation puts the energy above the most stable polymorph in this dataset at 1733 meV per atom. For the energy, the calculation gives -4.28 eV/atom.

[2]
BaY2Rh: relaxed, GGA-PBE.

```
data_BaY2Rh
_symmetry_space_group_name_H-M 'P 4/m m m'
_symmetry_Int_Tables_number 123
_symmetry_space_group_name_Hall '-P 4 2'
_cell_length_a 5.1443
_cell_length_b 5.1443
_cell_length_c 4.1997
_cell_angle_alpha 90.00
_cell_angle_beta 90.00
_cell_angle_gamma 90.00
loop_
_atom_site_label
_atom_site_fract_x
_atom_site_fract_y
_atom_site_fract_z
Ba1 0.0000 0.0000 0.0000
Y1 0.0000 0.5000 0.5000
Rh1 0.5000 0.5000 0.0000
```

Summary:
For the total magnetization, the calculation gives 0.0 μB/cell. The formation energy is 0.195 eV per atom. The calculation puts the energy above the most stable polymorph in this dataset at 543 meV per atom. For the energy, the calculation gives -5.36 eV/atom.

[3]
BaY2Rh: relaxed, GGA-PBE.

```
data_BaY2Rh
_symmetry_space_group_name_H-M 'I m m m'
_symmetry_Int_Tables_number 71
_symmetry_space_group_name_Hall '-I 2 2'
_cell_length_a 3.7509
_cell_length_b 6.1072
_cell_length_c 11.1846
_cell_angle_alpha 90.00
_cell_angle_beta 90.00
_cell_angle_gamma 90.00
loop_
_atom_site_label
_atom_site_fract_x
_atom_site_fract_y
_atom_site_fract_z
Ba1 0.0000 0.0000 0.0000
Y1 0.0000 0.5000 0.1818
Rh1 0.0000 0.0000 0.5000
```

Summary:
For the total magnetization, the calculation gives 0.0 μB/cell. The formation energy is -0.212 eV per atom. The calculation puts the energy above the most stable polymorph in this dataset at 136 meV per atom. For the energy, the calculation gives -5.76 eV/atom.

[4]
BaY2Rh: relaxed, GGA-PBE.

```
data_BaY2Rh
_symmetry_space_group_name_H-M 'C 1 2/m 1'
_symmetry_Int_Tables_number 12
_cell_length_a 7.1486
_cell_length_b 4.1206
_cell_length_c 9.9516
_cell_angle_alpha 90.00
_cell_angle_beta 103.64
_cell_angle_gamma 90.00
loop_
_symmetry_equiv_pos_as_xyz
'x,y,z'
'-x,-y,-z'
'-x,y,-z'
'x,-y,z'
'x+1/2,y+1/2,z'
'-x+1/2,-y+1/2,-z'
'-x+1/2,y+1/2,-z'
'x+1/2,-y+1/2,z'
loop_
_atom_site_label
_atom_site_fract_x
_atom_site_fract_y
_atom_site_fract_z
Ba1 0.0000 0.0000 0.0000
Y1 0.2150 0.0000 0.6472
Rh1 0.0000 0.5000 0.5000
```

Summary:
For the total magnetization, the calculation gives 0.0 μB/cell. The formation energy is -0.348 eV per atom. The calculation puts the energy above the most stable polymorph in this dataset at 0 meV per atom. For the energy, the calculation gives -5.90 eV/atom.

[5]
BaY3Rh: relaxed, GGA-PBE.

```
data_BaY3Rh
_symmetry_space_group_name_H-M 'P m -3 m'
_symmetry_Int_Tables_number 221
_symmetry_space_group_name_Hall '-P 4 2 3'
_cell_length_a 5.5641
_cell_length_b 5.5641
_cell_length_c 5.5641
_cell_angle_alpha 90.00
_cell_angle_beta 90.00
_cell_angle_gamma 90.00
loop_
_atom_site_label
_atom_site_fract_x
_atom_site_fract_y
_atom_site_fract_z
Ba1 0.0000 0.0000 0.0000
Y1 0.0000 0.5000 0.5000
Rh1 0.5000 0.5000 0.5000
```

Summary:
For the total magnetization, the calculation gives 0.0 μB/cell. The formation energy is -0.275 eV per atom. The calculation puts the energy above the most stable polymorph in this dataset at 0 meV per atom. For the energy, the calculation gives -6.01 eV/atom.

[6]
BaY2Rh: relaxed, GGA-PBE.

```
data_BaY2Rh
_symmetry_space_group_name_H-M 'F m -3 m'
_symmetry_Int_Tables_number 225
_symmetry_space_group_name_Hall '-F 4 2 3'
_cell_length_a 7.5308
_cell_length_b 7.5308
_cell_length_c 7.5308
_cell_angle_alpha 90.00
_cell_angle_beta 90.00
_cell_angle_gamma 90.00
loop_
_atom_site_label
_atom_site_fract_x
_atom_site_fract_y
_atom_site_fract_z
Ba1 0.0000 0.0000 0.0000
Y1 0.2500 0.2500 0.2500
Rh1 0.0000 0.0000 0.5000
```

Summary:
For the total magnetization, the calculation gives 0.0 μB/cell. The formation energy is 0.102 eV per atom. The calculation puts the energy above the most stable polymorph in this dataset at 450 meV per atom. For the energy, the calculation gives -5.45 eV/atom.

[7]
BaZn5Rh2: relaxed, GGA-PBE.

```
data_BaZn5Rh2
_symmetry_space_group_name_H-M 'I m m m'
_symmetry_Int_Tables_number 71
_symmetry_space_group_name_Hall '-I 2 2'
_cell_length_a 4.2182
_cell_length_b 7.4317
_cell_length_c 10.3304
_cell_angle_alpha 90.00
_cell_angle_beta 90.00
_cell_angle_gamma 90.00
loop_
_atom_site_label
_atom_site_fract_x
_atom_site_fract_y
_atom_site_fract_z
Ba1 0.0000 0.0000 0.0000
Zn1 0.0000 0.1802 0.3268
Zn2 0.0000 0.5000 0.0000
Rh1 0.0000 0.5000 0.2379
```

Summary:
For the total magnetization, the calculation gives 0.0 μB/cell. The formation energy is -0.294 eV per atom. For the energy, the calculation gives -3.17 eV/atom.

[8]
Ba3Zn4Rh2: relaxed, GGA-PBE.

```
data_Ba3Zn4Rh2
_symmetry_space_group_name_H-M 'C 1 2/m 1'
_symmetry_Int_Tables_number 12
_cell_length_a 12.2418
_cell_length_b 4.4339
_cell_length_c 9.1547
_cell_angle_alpha 90.00
_cell_angle_beta 100.43
_cell_angle_gamma 90.00
loop_
_symmetry_equiv_pos_as_xyz
'x,y,z'
'-x,-y,-z'
'-x,y,-z'
'x,-y,z'
'x+1/2,y+1/2,z'
'-x+1/2,-y+1/2,-z'
'-x+1/2,y+1/2,-z'
'x+1/2,-y+1/2,z'
loop_
_atom_site_label
_atom_site_fract_x
_atom_site_fract_y
_atom_site_fract_z
Ba1 0.0000 0.0000 0.0000
Ba2 0.1721 0.5000 0.6546
Zn1 0.0535 0.0000 0.3766
Zn2 0.2186 0.5000 0.0676
Rh1 0.1113 0.5000 0.2759
```

Summary:
For the total magnetization, the calculation gives 0.0 μB/cell. The formation energy is -0.277 eV per atom. The calculation puts the energy above the most stable polymorph in this dataset at 0 meV per atom. For the energy, the calculation gives -3.12 eV/atom.

[9]
BaZnRh: relaxed, GGA-PBE.

```
data_BaZnRh
_symmetry_space_group_name_H-M 'F -4 3 m'
_symmetry_Int_Tables_number 216
_symmetry_space_group_name_Hall 'F -4 2 3'
_cell_length_a 7.1701
_cell_length_b 7.1701
_cell_length_c 7.1701
_cell_angle_alpha 90.00
_cell_angle_beta 90.00
_cell_angle_gamma 90.00
loop_
_atom_site_label
_atom_site_fract_x
_atom_site_fract_y
_atom_site_fract_z
Ba1 0.0000 0.0000 0.0000
Zn1 0.2500 0.2500 0.2500
Rh1 0.2500 0.2500 0.7500
```

Summary:
For the total magnetization, the calculation gives 0.0 μB/cell. The formation energy is 0.700 eV per atom. For the energy, the calculation gives -2.82 eV/atom.

[10]
Ba2ZnRh2: relaxed, GGA-PBE.

```
data_Ba2ZnRh2
_symmetry_space_group_name_H-M 'P 4/m b m'
_symmetry_Int_Tables_number 127
_symmetry_space_group_name_Hall '-P 4 2ab'
_cell_length_a 7.2217
_cell_length_b 7.2217
_cell_length_c 4.8417
_cell_angle_alpha 90.00
_cell_angle_beta 90.00
_cell_angle_gamma 90.00
loop_
_atom_site_label
_atom_site_fract_x
_atom_site_fract_y
_atom_site_fract_z
Ba1 0.1783 0.3217 0.0000
Zn1 0.0000 0.0000 0.5000
Rh1 0.1337 0.6337 0.5000
```

Summary:
For the total magnetization, the calculation gives 0.0 μB/cell. The formation energy is -0.106 eV per atom. For the energy, the calculation gives -4.07 eV/atom.

[11]
Ba2Zn2Rh: relaxed, GGA-PBE.

```
data_Ba2Zn2Rh
_symmetry_space_group_name_H-M 'P -1'
_symmetry_Int_Tables_number 2
_cell_length_a 4.3803
_cell_length_b 6.5192
_cell_length_c 11.5334
_cell_angle_alpha 91.77
_cell_angle_beta 100.90
_cell_angle_gamma 109.58
loop_
_symmetry_equiv_pos_as_xyz
'x,y,z'
'-x,-y,-z'
loop_
_atom_site_label
_atom_site_fract_x
_atom_site_fract_y
_atom_site_fract_z
Ba1 0.0738 0.2766 0.3706
Ba2 0.2065 0.7989 0.1152
Zn1 0.3713 0.8372 0.4066
Zn2 0.4871 0.6125 0.8613
Rh1 0.2552 0.3231 0.6872
```

Summary:
For the total magnetization, the calculation gives 0.0 μB/cell. The formation energy is -0.274 eV per atom. The calculation puts the energy above the most stable polymorph in this dataset at 0 meV per atom. For the energy, the calculation gives -3.02 eV/atom.

[12]
Ba2ZnRh: relaxed, GGA-PBE.

```
data_Ba2ZnRh
_symmetry_space_group_name_H-M 'C 1 m 1'
_symmetry_Int_Tables_number 8
_cell_length_a 7.8088
_cell_length_b 4.5119
_cell_length_c 8.8730
_cell_angle_alpha 90.00
_cell_angle_beta 107.44
_cell_angle_gamma 90.00
loop_
_symmetry_equiv_pos_as_xyz
'x,y,z'
'x,-y,z'
'x+1/2,y+1/2,z'
'x+1/2,-y+1/2,z'
loop_
_atom_site_label
_atom_site_fract_x
_atom_site_fract_y
_atom_site_fract_z
Ba1 0.0000 0.0000 0.0000
Ba2 0.1693 0.0000 0.4967
Zn1 0.2510 0.5000 0.2485
Rh1 0.4170 0.0000 0.2475
```

Summary:
For the total magnetization, the calculation gives 0.0 μB/cell. The formation energy is -0.322 eV per atom. For the energy, the calculation gives -3.44 eV/atom.

[13]
Ba3Zn4Rh2: relaxed, GGA-PBE.

```
data_Ba3Zn4Rh2
_symmetry_space_group_name_H-M 'C 1 2/m 1'
_symmetry_Int_Tables_number 12
_cell_length_a 11.8956
_cell_length_b 4.5414
_cell_length_c 9.5108
_cell_angle_alpha 90.00
_cell_angle_beta 110.44
_cell_angle_gamma 90.00
loop_
_symmetry_equiv_pos_as_xyz
'x,y,z'
'-x,-y,-z'
'-x,y,-z'
'x,-y,z'
'x+1/2,y+1/2,z'
'-x+1/2,-y+1/2,-z'
'-x+1/2,y+1/2,-z'
'x+1/2,-y+1/2,z'
loop_
_atom_site_label
_atom_site_fract_x
_atom_site_fract_y
_atom_site_fract_z
Ba1 0.0000 0.0000 0.0000
Ba2 0.1152 0.5000 0.6865
Zn1 0.1559 0.0000 0.4252
Zn2 0.2241 0.5000 0.0711
Rh1 0.1736 0.5000 0.3080
```

Summary:
For the total magnetization, the calculation gives 0.0 μB/cell. The formation energy is -0.257 eV per atom. The calculation puts the energy above the most stable polymorph in this dataset at 20 meV per atom. For the energy, the calculation gives -3.10 eV/atom.